[1]
Ac2NdGe | GGA-PBE | optimized geometry

Computed properties:
For the energy of formation, the calculation gives 0.0459 eV/atom. The calculation puts the total energy at -4.35 eV/atom. The value obtained for the relative energy among the computed polymorphs is 273 meV per atom.

Structure (CIF):
```
data_Ac2NdGe
_symmetry_space_group_name_H-M 'R -3 m'
_symmetry_Int_Tables_number 166
_symmetry_space_group_name_Hall '-R 3 2"'
_cell_length_a 4.1937
_cell_length_b 4.1937
_cell_length_c 33.2543
_cell_angle_alpha 90.00
_cell_angle_beta 90.00
_cell_angle_gamma 120.00
loop_
_atom_site_label
_atom_site_type_symbol
_atom_site_fract_x
_atom_site_fract_y
_atom_site_fract_z
_atom_site_occupancy
Ac1 Ac 0.0000 0.0000 0.1105 1
Nd1 Nd 0.0000 0.0000 0.0000 1
Ge1 Ge 0.0000 0.0000 0.5000 1
```

[2]
Ce3Y2In4 | GGA-PBE | optimized geometry

Computed properties:
For the energy of formation, the calculation gives -0.3478 eV/atom. The calculation puts the total energy at -4.98 eV/atom.

Structure (CIF):
```
data_Ce3Y2In4
_symmetry_space_group_name_H-M 'C 1 2/m 1'
_symmetry_Int_Tables_number 12
_cell_length_a 9.256
_cell_length_b 5.355
_cell_length_c 10.154
_cell_angle_alpha 90.00
_cell_angle_beta 91.64
_cell_angle_gamma 90.00
loop_
_symmetry_equiv_pos_as_xyz
'x,y,z'
'-x,-y,-z'
'-x,y,-z'
'x,-y,z'
'x+1/2,y+1/2,z'
'-x+1/2,-y+1/2,-z'
'-x+1/2,y+1/2,-z'
'x+1/2,-y+1/2,z'
loop_
_atom_site_label
_atom_site_type_symbol
_atom_site_fract_x
_atom_site_fract_y
_atom_site_fract_z
_atom_site_occupancy
Ce1 Ce 0.000 0.000 0.000 1
Ce2 Ce 0.136 0.500 0.562 1
Y1 Y 0.177 0.500 0.221 1
In1 In 0.023 0.000 0.343 1
In2 In 0.162 0.500 0.892 1
```

[3]
Zn2Fe3 | GGA-PBE | optimized geometry

Computed properties:
For the energy of formation, the calculation gives 0.0889 eV/atom. The calculation puts the total energy at -5.50 eV/atom. The value obtained for the relative energy among the computed polymorphs is 46 meV per atom.

Structure (CIF):
```
data_Zn2Fe3
_symmetry_space_group_name_H-M 'R -3 m'
_symmetry_Int_Tables_number 166
_symmetry_space_group_name_Hall '-R 3 2"'
_cell_length_a 2.5915
_cell_length_b 2.5915
_cell_length_c 32.4363
_cell_angle_alpha 90.00
_cell_angle_beta 90.00
_cell_angle_gamma 120.00
loop_
_atom_site_label
_atom_site_type_symbol
_atom_site_fract_x
_atom_site_fract_y
_atom_site_fract_z
_atom_site_occupancy
Zn1 Zn 0.0000 0.0000 0.1002 1
Fe1 Fe 0.0000 0.0000 0.3005 1
Fe2 Fe 0.0000 0.0000 0.5000 1
```

[4]
CsRb2H2 | GGA-PBE | optimized geometry

Computed properties:
The calculation puts the total energy at -1.92 eV/atom. The value obtained for the relative energy among the computed polymorphs is 0 meV per atom.

Structure (CIF):
```
data_CsRb2H2
_symmetry_space_group_name_H-M 'I 4/m m m'
_symmetry_Int_Tables_number 139
_symmetry_space_group_name_Hall '-I 4 2'
_cell_length_a 5.439
_cell_length_b 5.439
_cell_length_c 15.840
_cell_angle_alpha 90.00
_cell_angle_beta 90.00
_cell_angle_gamma 90.00
loop_
_atom_site_label
_atom_site_type_symbol
_atom_site_fract_x
_atom_site_fract_y
_atom_site_fract_z
_atom_site_occupancy
Cs1 Cs 0.000 0.000 0.000 1
Rb1 Rb 0.000 0.000 0.304 1
H1 H 0.000 0.500 0.250 1
```

[5]
LiNbHg | GGA-PBE | optimized geometry

Computed properties:
For the energy of formation, the calculation gives -0.0128 eV/atom. The calculation puts the total energy at -4.11 eV/atom. The value obtained for the relative energy among the computed polymorphs is 0 meV per atom.

Structure (CIF):
```
data_LiNbHg
_symmetry_space_group_name_H-M 'C m m e'
_symmetry_Int_Tables_number 67
_symmetry_space_group_name_Hall '-C 2a 2'
_cell_length_a 3.680
_cell_length_b 4.574
_cell_length_c 13.626
_cell_angle_alpha 90.00
_cell_angle_beta 90.00
_cell_angle_gamma 90.00
loop_
_atom_site_label
_atom_site_type_symbol
_atom_site_fract_x
_atom_site_fract_y
_atom_site_fract_z
_atom_site_occupancy
Li1 Li 0.000 0.250 0.090 1
Nb1 Nb 0.000 0.250 0.421 1
Hg1 Hg 0.000 0.250 0.757 1
```

[6]
PmTm4Sb5 | GGA-PBE | optimized geometry

Computed properties:
The value obtained for the formation energy without anion corrections is -1.086 eV/atom. The calculation puts the total energy at -5.41 eV/atom.

Structure (CIF):
```
data_PmTm4Sb5
_symmetry_space_group_name_H-M 'I m m m'
_symmetry_Int_Tables_number 71
_symmetry_space_group_name_Hall '-I 2 2'
_cell_length_a 4.368
_cell_length_b 6.182
_cell_length_c 21.833
_cell_angle_alpha 90.00
_cell_angle_beta 90.00
_cell_angle_gamma 90.00
loop_
_atom_site_label
_atom_site_type_symbol
_atom_site_fract_x
_atom_site_fract_y
_atom_site_fract_z
_atom_site_occupancy
Pm1 Pm 0.000 0.000 0.000 1
Tm1 Tm 0.000 0.000 0.202 1
Tm2 Tm 0.000 0.000 0.400 1
Sb1 Sb 0.000 0.500 0.000 1
Sb2 Sb 0.000 0.500 0.199 1
Sb3 Sb 0.000 0.500 0.396 1
```